Record 1
The following is a DFT calculation (PBE) of Ba6LiNb2IrCl2O12 after structural relaxation.

Structure (POSCAR):
```
Ba6LiNb2IrCl2O12
1.0
2.989 5.516 -0.038
-2.989 5.516 -0.038
0.000 2.057 14.864
Ba Li Nb Ir Cl O
6 1 2 1 2 12
Direct
0.319 0.319 0.360
0.332 0.332 0.784
0.685 0.685 0.634
0.613 0.613 0.902
0.348 0.348 0.084
0.663 0.663 0.212
0.803 0.803 0.003
0.980 0.980 0.813
0.024 0.024 0.183
0.019 0.019 0.001
0.688 0.688 0.423
0.311 0.311 0.577
0.135 0.695 0.928
0.301 0.794 0.748
0.207 0.703 0.248
0.794 0.301 0.748
0.818 0.818 0.772
0.885 0.343 0.072
0.181 0.181 0.233
0.343 0.885 0.072
0.874 0.874 0.107
0.695 0.135 0.928
0.703 0.207 0.248
0.138 0.138 0.886
```

Its offset from the most stable computed form is 0.019 eV/atom. The raw formation energy comes out at -58.239 eV/f.u. For the total energy, the calculation gives -6.828 eV/atom.

***

Record 2
The following is a DFT calculation (PBE) of Ba6LiNb2IrCl2O12 after structural relaxation.

Structure (POSCAR):
```
Ba6LiNb2IrCl2O12
1.0
3.030 -5.249 0.000
3.030 5.249 0.000
0.000 0.000 15.126
Ba Li Nb Ir Cl O
6 1 2 1 2 12
Direct
0.333 0.667 0.356
0.333 0.667 0.795
0.667 0.333 0.644
0.667 0.333 0.933
0.333 0.667 0.067
0.667 0.333 0.205
0.000 0.000 0.500
0.000 0.000 0.817
0.000 0.000 0.183
0.000 0.000 0.000
0.667 0.333 0.428
0.333 0.667 0.572
0.155 0.310 0.916
0.321 0.161 0.757
0.161 0.321 0.243
0.839 0.679 0.757
0.839 0.161 0.757
0.845 0.690 0.084
0.161 0.839 0.243
0.310 0.155 0.084
0.845 0.155 0.084
0.690 0.845 0.916
0.679 0.839 0.243
0.155 0.845 0.916
```

Its offset from the most stable computed form is 0.093 eV/atom. The raw formation energy comes out at -56.480 eV/f.u. For the total energy, the calculation gives -6.755 eV/atom.

***

Record 3
The following is a DFT calculation (PBE) of Ba6LiNb2IrCl2O12 after structural relaxation.

Structure (POSCAR):
```
Ba6LiNb2IrCl2O12
1.0
0.433 -5.981 0.760
4.777 -2.411 2.813
-6.766 0.281 13.822
Ba Li Nb Ir Cl O
6 1 2 1 2 12
Direct
0.301 0.301 0.633
0.351 0.351 0.218
0.676 0.676 0.363
0.696 0.696 0.092
0.376 0.376 0.965
0.623 0.623 0.777
0.201 0.201 0.827
0.028 0.028 0.184
0.944 0.944 0.817
0.019 0.019 0.999
0.666 0.666 0.573
0.341 0.341 0.425
0.719 0.194 0.093
0.873 0.353 0.241
0.598 0.098 0.774
0.353 0.873 0.241
0.865 0.865 0.249
0.283 0.851 0.895
0.093 0.093 0.730
0.851 0.283 0.895
0.851 0.851 0.937
0.194 0.719 0.093
0.098 0.598 0.774
0.179 0.179 0.079
```

Its offset from the most stable computed form is 0.004 eV/atom. The raw formation energy comes out at -58.611 eV/f.u. For the total energy, the calculation gives -6.844 eV/atom.

***

Record 4
The following is a DFT calculation (PBE) of Ba6LiNb2IrCl2O12 after structural relaxation.

Structure (POSCAR):
```
Ba6LiNb2IrCl2O12
1.0
-1.916 -3.051 5.174
3.144 -4.746 2.709
7.560 9.137 9.240
Ba Li Nb Ir Cl O
6 1 2 1 2 12
Direct
0.301 0.301 0.623
0.321 0.321 0.204
0.667 0.667 0.358
0.654 0.654 0.072
0.357 0.357 0.942
0.709 0.709 0.802
0.494 0.494 0.729
0.011 0.011 0.185
0.003 0.003 0.815
0.005 0.005 0.995
0.634 0.634 0.591
0.300 0.300 0.418
0.707 0.177 0.090
0.860 0.345 0.234
0.673 0.151 0.751
0.345 0.860 0.234
0.865 0.865 0.258
0.311 0.819 0.903
0.150 0.150 0.745
0.819 0.311 0.903
0.850 0.850 0.924
0.177 0.707 0.090
0.151 0.673 0.751
0.158 0.158 0.070
```

Its offset from the most stable computed form is 0.043 eV/atom. The raw formation energy comes out at -57.676 eV/f.u. For the total energy, the calculation gives -6.805 eV/atom.

***

Record 5
The following is a DFT calculation (PBE) of Ba6LiNb2IrCl2O12 after structural relaxation.

Structure (POSCAR):
```
Ba6LiNb2IrCl2O12
1.0
2.993 5.345 -0.026
-2.993 5.345 -0.026
0.000 1.497 15.152
Ba Li Nb Ir Cl O
6 1 2 1 2 12
Direct
0.680 0.680 0.363
0.642 0.642 0.783
0.320 0.320 0.637
0.280 0.280 0.901
0.720 0.720 0.099
0.358 0.358 0.217
0.500 0.500 0.000
0.965 0.965 0.819
0.035 0.035 0.181
0.000 0.000 0.000
0.347 0.347 0.425
0.653 0.653 0.575
0.791 0.295 0.908
0.645 0.119 0.761
0.881 0.355 0.239
0.119 0.645 0.761
0.131 0.131 0.755
0.209 0.705 0.092
0.869 0.869 0.245
0.705 0.209 0.092
0.164 0.164 0.069
0.295 0.791 0.908
0.355 0.881 0.239
0.836 0.836 0.931
```

Its offset from the most stable computed form is 0.000 eV/atom. The raw formation energy comes out at -58.707 eV/f.u. For the total energy, the calculation gives -6.848 eV/atom.

***

Record 6
The following is a DFT calculation (PBE) of Ba6LiNb2IrCl2O12 after structural relaxation.

Structure (POSCAR):
```
Ba6LiNb2IrCl2O12
1.0
2.924 5.440 0.037
-2.924 5.440 0.037
0.000 0.894 15.239
Ba Li Nb Ir Cl O
6 1 2 1 2 12
Direct
0.323 0.323 0.368
0.333 0.333 0.787
0.685 0.685 0.638
0.640 0.640 0.919
0.296 0.296 0.039
0.704 0.704 0.218
0.466 0.466 0.168
0.997 0.997 0.815
0.013 0.013 0.185
0.997 0.997 0.003
0.681 0.681 0.426
0.332 0.332 0.579
0.157 0.690 0.917
0.329 0.829 0.757
0.174 0.680 0.249
0.829 0.329 0.757
0.842 0.842 0.760
0.825 0.316 0.089
0.168 0.168 0.238
0.316 0.825 0.089
0.851 0.851 0.092
0.690 0.157 0.917
0.680 0.174 0.249
0.150 0.150 0.909
```

Its offset from the most stable computed form is 0.021 eV/atom. The raw formation energy comes out at -58.208 eV/f.u. For the total energy, the calculation gives -6.827 eV/atom.

***

Record 7
The following is a DFT calculation (PBE) of Ba6IrN2Cl3 after structural relaxation.

Structure (POSCAR):
```
Ba6IrN2Cl3
1.0
-0.587 -6.216 -4.013
5.709 0.888 4.659
-5.810 -1.470 5.423
Ba Ir N Cl
6 1 2 3
Direct
0.934 0.579 0.802
0.712 0.712 0.199
0.066 0.421 0.198
0.579 0.934 0.802
0.288 0.288 0.801
0.421 0.066 0.198
0.000 0.000 0.000
0.333 0.667 0.000
0.667 0.333 0.000
0.165 0.835 0.500
0.835 0.165 0.500
0.500 0.500 0.500
```

The raw formation energy comes out at -14.432 eV/f.u. For the total energy, the calculation gives -4.752 eV/atom.

***

Record 8
The following is a DFT calculation (PBE) of BaNa2IrCl8 after structural relaxation.

Structure (POSCAR):
```
BaNa2IrCl8
1.0
-2.278 -2.345 -4.938
7.329 0.423 0.449
0.230 -7.911 3.649
Ba Na Ir Cl
1 2 1 8
Direct
0.000 0.000 0.500
0.499 0.500 0.747
0.501 0.500 0.253
0.000 0.000 0.000
0.036 0.787 0.191
0.565 0.790 0.000
0.965 0.214 0.191
0.964 0.213 0.809
0.435 0.210 0.000
0.035 0.786 0.809
0.430 0.712 0.500
0.570 0.288 0.500
```

The raw formation energy comes out at -16.298 eV/f.u. For the total energy, the calculation gives -3.708 eV/atom.

***

Record 9
The following is a DFT calculation (PBE) of Ba2IrClO4 after structural relaxation.

Structure (POSCAR):
```
Ba2IrClO4
1.0
3.484 0.000 0.000
1.742 4.847 0.141
1.742 0.763 9.505
Ba Ir Cl O
2 1 1 4
Direct
0.838 0.554 0.769
0.162 0.446 0.231
0.000 0.000 0.000
0.500 0.500 0.500
0.124 0.948 0.804
0.392 0.251 0.966
0.876 0.052 0.196
0.608 0.749 0.034
```

The raw formation energy comes out at -14.066 eV/f.u. For the total energy, the calculation gives -6.056 eV/atom.

***

Record 10
The following is a DFT calculation (PBE) of BaP2IrCl after structural relaxation.

Structure (POSCAR):
```
BaP2IrCl
1.0
4.500 0.000 0.000
0.000 4.500 0.000
0.000 0.000 6.723
P Ir Ba Cl
2 1 1 1
Direct
0.000 0.500 0.000
0.500 0.000 0.000
0.000 0.000 0.000
0.500 0.500 0.500
0.000 0.000 0.500
```

Its offset from the most stable computed form is 0.000 eV/atom. The raw formation energy comes out at -2.830 eV/f.u. For the total energy, the calculation gives -5.256 eV/atom.

***

Record 11
The following is a DFT calculation (PBE) of BaPIrCl2 after structural relaxation.

Structure (POSCAR):
```
BaPIrCl2
1.0
-3.380 -0.034 4.624
3.917 -3.065 2.840
2.863 5.636 2.135
P Ir Ba Cl
1 1 1 2
Direct
0.000 0.000 0.500
0.500 0.500 0.500
0.000 0.000 0.000
0.000 0.500 0.000
0.500 0.000 0.000
```

Its offset from the most stable computed form is 1.615 eV/atom. The raw formation energy comes out at 4.130 eV/f.u. For the total energy, the calculation gives -3.151 eV/atom.

***

Record 12
The following is a DFT calculation (PBE) of BaP2IrCl after structural relaxation.

Structure (POSCAR):
```
BaP2IrCl
1.0
6.373 0.000 0.000
0.000 6.373 0.000
0.000 0.000 5.778
P Ir Ba Cl
2 1 1 1
Direct
0.000 0.500 0.000
0.500 0.000 0.000
0.500 0.500 0.500
0.000 0.000 0.000
0.000 0.000 0.500
```

Its offset from the most stable computed form is 2.234 eV/atom. The raw formation energy comes out at 8.339 eV/f.u. For the total energy, the calculation gives -3.022 eV/atom.

***

Question: raw formation energy of number 10 (BaP2IrCl)?
Answer: -2.830 eV/f.u.

***

Question: What is the raw formation energy in the second record?
Answer: -56.480 eV/f.u.

***

Repeat the fifth record exactly.
The following is a DFT calculation (PBE) of Ba6LiNb2IrCl2O12 after structural relaxation.

Structure (POSCAR):
```
Ba6LiNb2IrCl2O12
1.0
2.993 5.345 -0.026
-2.993 5.345 -0.026
0.000 1.497 15.152
Ba Li Nb Ir Cl O
6 1 2 1 2 12
Direct
0.680 0.680 0.363
0.642 0.642 0.783
0.320 0.320 0.637
0.280 0.280 0.901
0.720 0.720 0.099
0.358 0.358 0.217
0.500 0.500 0.000
0.965 0.965 0.819
0.035 0.035 0.181
0.000 0.000 0.000
0.347 0.347 0.425
0.653 0.653 0.575
0.791 0.295 0.908
0.645 0.119 0.761
0.881 0.355 0.239
0.119 0.645 0.761
0.131 0.131 0.755
0.209 0.705 0.092
0.869 0.869 0.245
0.705 0.209 0.092
0.164 0.164 0.069
0.295 0.791 0.908
0.355 0.881 0.239
0.836 0.836 0.931
```

Its offset from the most stable computed form is 0.000 eV/atom. The raw formation energy comes out at -58.707 eV/f.u. For the total energy, the calculation gives -6.848 eV/atom.